Record 1
Entry from Alexandria via LeMat-Bulk: a relaxed structure of Zn2HgF6 (PBE).

a = 5.9146 Å, b = 7.2372 Å, c = 7.2372 Å
α = 63.21°, β = 71.28°, γ = 71.28°
Closest atoms and distances in Å follow each position.
Sites, in units of the cell vectors:
F  0.8708  0.2335  0.9441  1 Zn 2.05, 1 Hg 2.11
F  0.1292  0.7665  0.0559  1 Zn 2.05, 1 Hg 2.11
Zn  0.3366  0.6604  0.8224  6 F 2.00-2.22
Zn  0.8366  0.8224  0.6604  6 F 2.00-2.22
Zn  0.1634  0.1776  0.3396  6 F 2.00-2.22
F  0.8771  0.4205  0.2881  2 Zn 2.00-2.03
F  0.8752  0.0350  0.3525  3 Zn 2.05-2.22
F  0.1229  0.5795  0.7119  2 Zn 2.00-2.03
F  0.3752  0.3525  0.0350  3 Zn 2.05-2.22
F  0.6229  0.7119  0.5795  2 Zn 2.00-2.03
F  0.6292  0.0559  0.7665  1 Zn 2.05, 1 Hg 2.11
F  0.3771  0.2881  0.4205  2 Zn 2.00-2.03
Hg  0.7500  0.8184  0.1816  2 F 2.11
Hg  0.2500  0.1816  0.8184  2 F 2.11
F  0.1248  0.9650  0.6475  3 Zn 2.05-2.22
F  0.3708  0.9441  0.2335  1 Zn 2.05, 1 Hg 2.11
F  0.6248  0.6475  0.9650  3 Zn 2.05-2.22
Zn  0.6634  0.3396  0.1776  6 F 2.00-2.22

Summary:
crystal system: monoclinic
VASP energy: -3.5065 eV per atom
SG: C2/c (15)

***

Record 2
Entry from Alexandria via LeMat-Bulk: a relaxed structure of ZnTc2Os (PBE).

a = 3.9832 Å, b = 2.7506 Å, c = 5.8914 Å
α = 62.25°, β = 90.00°, γ = 90.00°
Closest atoms and distances in Å follow each position.
Sites, in units of the cell vectors:
Tc  0.0000  0.9934  0.0075  4 Tc 2.53-2.75, 4 Zn 2.73, 4 Os 2.77
Zn  0.5000  0.2500  0.2500  2 Os 2.61, 8 Tc 2.73, 2 Zn 2.75
Os  0.5000  0.7500  0.7500  2 Zn 2.61, 2 Os 2.75, 8 Tc 2.77
Tc  0.0000  0.5066  0.4925  4 Tc 2.53-2.75, 4 Zn 2.73, 4 Os 2.77

Summary:
crystal system: monoclinic
VASP energy: -8.2091 eV per atom
formation energy from the elements: 0.100 eV per atom
SG: P2/m (10)

***

Record 3
Entry from Alexandria via LeMat-Bulk: a relaxed structure of Na2Sn3Hg5 (PBE).

a = 6.6536 Å, b = 9.8832 Å, c = 9.8832 Å
α = 82.11°, β = 70.33°, γ = 70.33°
Closest atoms and distances in Å follow each position.
Sites, in units of the cell vectors:
Hg  0.0186  0.2314  0.2314  3 Sn 2.94-3.09, 2 Hg 3.11
Na  0.1302  0.5997  0.1400  8 Hg 3.51-3.88, 4 Sn 3.58-3.79
Na  0.8698  0.4003  0.8600  8 Hg 3.51-3.88, 4 Sn 3.58-3.79
Hg  0.4814  0.7686  0.7686  3 Sn 2.94-3.09, 2 Hg 3.11
Sn  0.6356  0.4920  0.2367  5 Hg 2.80-2.96
Hg  0.5186  0.2314  0.2314  3 Sn 2.94-3.09, 2 Hg 3.11
Hg  0.1092  0.0492  0.7323  3 Sn 2.80-3.02, 2 Hg 3.11
Na  0.3698  0.8600  0.4003  8 Hg 3.51-3.88, 4 Sn 3.58-3.79
Sn  0.7500  0.0000  0.0000  6 Hg 3.02-3.09, 2 Sn 3.33
Hg  0.6092  0.7323  0.0492  3 Sn 2.80-3.02, 2 Hg 3.11
Na  0.6302  0.1400  0.5997  8 Hg 3.51-3.88, 4 Sn 3.58-3.79
Hg  0.9814  0.7686  0.7686  3 Sn 2.94-3.09, 2 Hg 3.11
Hg  0.8908  0.9508  0.2677  3 Sn 2.80-3.02, 2 Hg 3.11
Hg  0.3908  0.2677  0.9508  3 Sn 2.80-3.02, 2 Hg 3.11
Hg  0.7500  0.5000  0.5000  4 Sn 2.96
Sn  0.1356  0.2367  0.4920  5 Hg 2.80-2.96
Hg  0.2500  0.5000  0.5000  4 Sn 2.96
Sn  0.8644  0.7633  0.5080  5 Hg 2.80-2.96
Sn  0.2500  0.0000  0.0000  6 Hg 3.02-3.09, 2 Sn 3.33
Sn  0.3644  0.5080  0.7633  5 Hg 2.80-2.96

Summary:
crystal system: orthorhombic
VASP energy: -1.6654 eV per atom
formation energy from the elements: -0.050 eV per atom
SG: Ibam (72)

***

Record 4
Entry from Alexandria via LeMat-Bulk: a relaxed structure of ZrHI3 (PBE).

a = 9.2416 Å, b = 9.2416 Å, c = 9.2416 Å
α = 79.06°, β = 115.76°, γ = 139.04°
Closest atoms and distances in Å follow each position.
Sites, in units of the cell vectors:
I  0.7434  0.5889  0.6544  1 Zr 2.75, 1 H 2.93
H  0.7937  0.3761  0.9176  2 Zr 1.95-1.98
I  0.9345  0.0889  0.3456  1 Zr 2.75, 1 H 2.93
Zr  0.1061  0.6776  0.9286  2 H 1.95-1.98
I  0.3940  0.8671  0.7454  2 H 2.91-3.13, 2 Zr 2.92-2.96
I  0.1217  0.6486  0.2546  2 H 2.91-3.13, 2 Zr 2.92-2.96
Zr  0.7490  0.1776  0.0714  2 H 1.95-1.98
H  0.4586  0.8761  0.0824  2 Zr 1.95-1.98
I  0.3940  0.1486  0.0269  2 H 2.91-3.13, 2 Zr 2.92-2.96
I  0.1217  0.3671  0.9731  2 H 2.91-3.13, 2 Zr 2.92-2.96

Summary:
crystal system: orthorhombic
VASP energy: -4.0752 eV per atom
SG: Ima2 (46)